Entry from Alexandria via LeMat-Bulk: a relaxed structure of ZnCr2MoO (GGA+U).

The structure in CIF format:
```
data_ZnCr2MoO
_symmetry_space_group_name_H-M 'P 4/m m m'
_symmetry_Int_Tables_number 123
_symmetry_space_group_name_Hall '-P 4 2'
_cell_length_a 5.393
_cell_length_b 5.393
_cell_length_c 3.835
_cell_angle_alpha 90.00
_cell_angle_beta 90.00
_cell_angle_gamma 90.00
loop_
_atom_site_label
_atom_site_fract_x
_atom_site_fract_y
_atom_site_fract_z
Zn1 0.000 0.000 0.000
Cr1 0.000 0.500 0.500
Mo1 0.500 0.500 0.500
O1 0.500 0.500 0.000
```

E	-5.150	eV per atom
spin magnetization	7.134	Bohr magnetons per cell
Fermi-level density of states	2.45	states/eV per cell